## CaCoTc (PBE-GGA)

Data for CaCoTc after structural relaxation.

**E**: -5.67 eV per atom
**Total moment**: 0.0 μB per cell
**Energy relative to the elements**: 0.821 eV per atom

```
data_CaCoTc
_chemical_formula_sum 'Ca4 Co4 Tc4'
_space_group_name_H-M_alt 'F -4 3 m'
_space_group_IT_number 216
_space_group_name_Hall 'F -4 2 3'
_cell_length_a 6.063
_cell_length_b 6.063
_cell_length_c 6.063
_cell_angle_alpha 90.00
_cell_angle_beta 90.00
_cell_angle_gamma 90.00
loop_
_atom_site_label
_atom_site_type_symbol
_atom_site_fract_x
_atom_site_fract_y
_atom_site_fract_z
Ca1 Ca 0.000 0.000 0.000
Co1 Co 0.250 0.250 0.250
Tc1 Tc 0.000 0.000 0.500
```


## CaCoTc (PBE-GGA)

Data for CaCoTc after structural relaxation.

**E**: -6.23 eV per atom
**Total moment**: 4.6 μB per cell
**Energy relative to the elements**: 0.259 eV per atom

```
data_CaCoTc
_chemical_formula_sum 'Ca4 Co4 Tc4'
_space_group_name_H-M_alt 'A m m 2'
_space_group_IT_number 38
_cell_length_a 4.345
_cell_length_b 10.614
_cell_length_c 4.897
_cell_angle_alpha 90.00
_cell_angle_beta 90.00
_cell_angle_gamma 90.00
loop_
_space_group_symop_operation_xyz
'x,y,z'
'-x,-y,z'
'-x,y,z'
'x,-y,z'
'x,y+1/2,z+1/2'
'-x,-y+1/2,z+1/2'
'-x,y+1/2,z+1/2'
'x,-y+1/2,z+1/2'
loop_
_atom_site_label
_atom_site_type_symbol
_atom_site_fract_x
_atom_site_fract_y
_atom_site_fract_z
Ca1 Ca 0.000 0.000 0.000
Ca2 Ca 0.500 0.000 0.484
Co1 Co 0.500 0.218 0.908
Tc1 Tc 0.000 0.229 0.618
```


## Ca2CoTc (PBE-GGA)

Data for Ca2CoTc after structural relaxation.

**E**: -4.69 eV per atom
**Total moment**: 6.8 μB per cell
**Energy relative to the elements**: 0.682 eV per atom

```
data_Ca2CoTc
_chemical_formula_sum 'Ca8 Co4 Tc4'
_space_group_name_H-M_alt 'I -4 2 d'
_space_group_IT_number 122
_space_group_name_Hall 'I -4 2bw'
_cell_length_a 10.384
_cell_length_b 10.384
_cell_length_c 4.361
_cell_angle_alpha 90.00
_cell_angle_beta 90.00
_cell_angle_gamma 90.00
loop_
_atom_site_label
_atom_site_type_symbol
_atom_site_fract_x
_atom_site_fract_y
_atom_site_fract_z
Ca1 Ca 0.080 0.250 0.125
Co1 Co 0.000 0.000 0.000
Tc1 Tc 0.000 0.000 0.500
```


## Ca2CoTc (PBE-GGA)

Data for Ca2CoTc after structural relaxation.

**E**: -4.58 eV per atom
**Total moment**: 14.1 μB per cell
**Energy relative to the elements**: 0.793 eV per atom

```
data_Ca2CoTc
_chemical_formula_sum 'Ca8 Co4 Tc4'
_space_group_name_H-M_alt 'F m -3 m'
_space_group_IT_number 225
_space_group_name_Hall '-F 4 2 3'
_cell_length_a 6.978
_cell_length_b 6.978
_cell_length_c 6.978
_cell_angle_alpha 90.00
_cell_angle_beta 90.00
_cell_angle_gamma 90.00
loop_
_atom_site_label
_atom_site_type_symbol
_atom_site_fract_x
_atom_site_fract_y
_atom_site_fract_z
Ca1 Ca 0.250 0.250 0.250
Co1 Co 0.000 0.000 0.000
Tc1 Tc 0.000 0.000 0.500
```


## CaCo2Tc (PBE-GGA)

Data for CaCo2Tc after structural relaxation.

**E**: -6.14 eV per atom
**Total moment**: 12.5 μB per cell
**Energy relative to the elements**: 0.501 eV per atom

```
data_CaCo2Tc
_chemical_formula_sum 'Ca4 Co8 Tc4'
_space_group_name_H-M_alt 'F m -3 m'
_space_group_IT_number 225
_space_group_name_Hall '-F 4 2 3'
_cell_length_a 6.227
_cell_length_b 6.227
_cell_length_c 6.227
_cell_angle_alpha 90.00
_cell_angle_beta 90.00
_cell_angle_gamma 90.00
loop_
_atom_site_label
_atom_site_type_symbol
_atom_site_fract_x
_atom_site_fract_y
_atom_site_fract_z
Ca1 Ca 0.000 0.000 0.000
Co1 Co 0.250 0.250 0.250
Tc1 Tc 0.000 0.000 0.500
```


## CaCoTc2 (PBE-GGA)

Data for CaCoTc2 after structural relaxation.

**E**: -6.80 eV per atom
**Total moment**: 0.0 μB per cell
**Energy relative to the elements**: 0.664 eV per atom

```
data_CaCoTc2
_chemical_formula_sum 'Ca2 Co2 Tc4'
_space_group_name_H-M_alt 'I 4/m m m'
_space_group_IT_number 139
_space_group_name_Hall '-I 4 2'
_cell_length_a 3.732
_cell_length_b 3.732
_cell_length_c 9.179
_cell_angle_alpha 90.00
_cell_angle_beta 90.00
_cell_angle_gamma 90.00
loop_
_atom_site_label
_atom_site_type_symbol
_atom_site_fract_x
_atom_site_fract_y
_atom_site_fract_z
Ca1 Ca 0.000 0.000 0.000
Co1 Co 0.000 0.000 0.500
Tc1 Tc 0.000 0.500 0.250
```


## CaCoTc (PBE-GGA)

Data for CaCoTc after structural relaxation.

**E**: -6.33 eV per atom
**Total moment**: 0.0 μB per cell
**Energy relative to the elements**: 0.163 eV per atom

```
data_CaCoTc
_chemical_formula_sum 'Ca4 Co4 Tc4'
_space_group_name_H-M_alt 'C m c m'
_space_group_IT_number 63
_space_group_name_Hall '-C 2c 2'
_cell_length_a 4.149
_cell_length_b 10.631
_cell_length_c 5.031
_cell_angle_alpha 90.00
_cell_angle_beta 90.00
_cell_angle_gamma 90.00
loop_
_atom_site_label
_atom_site_type_symbol
_atom_site_fract_x
_atom_site_fract_y
_atom_site_fract_z
Ca1 Ca 0.000 0.214 0.250
Co1 Co 0.000 0.049 0.750
Tc1 Tc 0.000 0.500 0.000
```


## CaCoTc (PBE-GGA)

Data for CaCoTc after structural relaxation.

**E**: -6.27 eV per atom
**Total moment**: 0.0 μB per cell
**Energy relative to the elements**: 0.220 eV per atom

```
data_CaCoTc
_chemical_formula_sum 'Ca4 Co4 Tc4'
_space_group_name_H-M_alt 'I m m a'
_space_group_IT_number 74
_space_group_name_Hall '-I 2b 2'
_cell_length_a 4.994
_cell_length_b 5.479
_cell_length_c 7.453
_cell_angle_alpha 90.00
_cell_angle_beta 90.00
_cell_angle_gamma 90.00
loop_
_atom_site_label
_atom_site_type_symbol
_atom_site_fract_x
_atom_site_fract_y
_atom_site_fract_z
Ca1 Ca 0.000 0.250 0.125
Co1 Co 0.000 0.000 0.500
Tc1 Tc 0.250 0.250 0.750
```